[1]
## Ni2MoBr (PBE)

Data for a relaxed Ni2MoBr crystal.

Cell lengths 2.922, 4.474, 4.367 Å; angles 90.00, 90.00, 90.00 degrees
Positions (direct):
Ni 0.500 0.500 0.000
Ni 0.000 0.000 0.000
Mo 0.000 0.500 0.500
Br 0.500 0.000 0.500

## Properties
- space-group type = Pmmm (47)
- calculated volume (Å³/cell) = 57
- E above lowest polymorph (eV per atom) = 0.419
- formation energy (no corrections) (eV per formula unit) = 3.01


[2]
## LaTmTh2Bi4 (PBE)

Data for a relaxed LaTmTh2Bi4 crystal.

Cell lengths 4.589, 7.936, 7.938 Å; angles 109.57, 90.00, 90.00 degrees
Positions (direct):
La 0.000 0.000 0.000
Bi 0.000 0.741 0.243
Bi 0.000 0.259 0.757
Bi 0.500 0.256 0.249
Bi 0.500 0.744 0.751
Th 0.000 0.500 0.500
Th 0.500 0.000 0.500
Tm 0.500 0.500 0.000

## Properties
- space-group type = P2/m (10)
- ΔE_f (eV/atom) = -0.733
- calculated volume (Å³/cell) = 272


[3]
## AgSb3W (PBE)

Data for a relaxed AgSb3W crystal.

Cell lengths 5.255, 5.255, 5.255 Å; angles 90.00, 90.00, 90.00 degrees
Positions (direct):
Sb 0.500 0.000 0.000
Sb 0.000 0.500 0.000
Sb 0.000 0.000 0.500
W 0.000 0.000 0.000
Ag 0.500 0.500 0.500

## Properties
- space-group type = Pm-3m (221)
- calculated volume (Å³/cell) = 145
- E above lowest polymorph (eV per atom) = 0.000
- formation energy (no corrections) (eV per formula unit) = 3.65


[4]
## Be4Cu3Rh (PBE)

Data for a relaxed Be4Cu3Rh crystal.

Cell lengths 3.888, 5.344, 7.776 Å; angles 90.00, 90.00, 90.00 degrees
Positions (direct):
Cu 0.000 0.000 0.500
Cu 0.501 0.000 0.250
Cu 0.499 0.000 0.750
Cu 0.500 0.500 0.750
Cu 0.000 0.000 0.000
Cu 0.500 0.500 0.250
Be 0.000 0.248 0.750
Be 0.500 0.752 0.000
Be 0.000 0.752 0.250
Be 0.000 0.248 0.250
Be 0.500 0.248 0.500
Be 0.000 0.752 0.750
Be 0.500 0.752 0.500
Be 0.500 0.248 0.000
Rh 0.000 0.500 0.500
Rh 0.000 0.500 0.000

## Properties
- space-group type = P4/mmm (123)
- ΔE_f (eV/atom) = -0.252
- calculated volume (Å³/cell) = 162


[5]
## MgAlRe2 (PBE)

Data for a relaxed MgAlRe2 crystal.

Cell lengths 7.214, 7.214, 5.721 Å; angles 50.91, 50.91, 90.00 degrees
Positions (direct):
Re 0.094 0.625 0.250
Re 0.656 0.125 0.250
Re 0.875 0.906 0.750
Re 0.375 0.344 0.750
Mg 0.500 0.500 0.000
Mg 0.250 0.750 0.500
Al 0.750 0.250 0.500
Al 0.000 0.000 0.000

## Properties
- space-group type = I-42d (122)
- ΔE_f (eV/atom) = 0.813
- calculated volume (Å³/cell) = 135
- E above lowest polymorph (eV per atom) = 0.890


[6]
## CaYMg3 (PBE)

Data for a relaxed CaYMg3 crystal.

Cell lengths 5.789, 5.789, 5.789 Å; angles 90.00, 90.00, 90.00 degrees
Positions (direct):
Y 0.000 0.000 0.000
Ca 0.500 0.500 0.500
Mg 0.000 0.500 0.000
Mg 0.500 0.000 0.000
Mg 0.000 0.000 0.500

## Properties
- space-group type = Pm-3m (221)
- ΔE_f (eV/atom) = 0.708
- calculated volume (Å³/cell) = 194
- E above lowest polymorph (eV per atom) = 0.000


[7]
## KPrP2Pd4 (PBE)

Data for a relaxed KPrP2Pd4 crystal.

Cell lengths 4.154, 4.154, 10.584 Å; angles 90.00, 90.00, 90.00 degrees
Positions (direct):
Pr 0.000 0.000 0.000
K 0.000 0.000 0.500
P 0.500 0.500 0.310
P 0.500 0.500 0.690
Pd 0.500 0.000 0.792
Pd 0.000 0.500 0.208
Pd 0.000 0.500 0.792
Pd 0.500 0.000 0.208

## Properties
- space-group type = P4/mmm (123)
- ΔE_f (eV/atom) = -0.562
- calculated volume (Å³/cell) = 183


[8]
## La2ScTi (PBE)

Data for a relaxed La2ScTi crystal.

Cell lengths 5.407, 5.407, 5.407 Å; angles 60.00, 60.00, 60.00 degrees
Positions (direct):
La 0.750 0.750 0.750
La 0.250 0.250 0.250
Sc 0.000 0.000 0.000
Ti 0.500 0.500 0.500

## Properties
- space-group type = Fm-3m (225)
- ΔE_f (eV/atom) = 0.220
- calculated volume (Å³/cell) = 112
- E above lowest polymorph (eV per atom) = 0.000


[9]
## Sr2GePb (PBE)

Data for a relaxed Sr2GePb crystal.

Cell lengths 5.664, 5.664, 5.664 Å; angles 60.00, 60.00, 60.00 degrees
Positions (direct):
Pb 0.500 0.500 0.500
Sr 0.750 0.750 0.750
Sr 0.250 0.250 0.250
Ge 0.000 0.000 0.000

## Properties
- space-group type = Fm-3m (225)
- ΔE_f (eV/atom) = -0.428
- calculated volume (Å³/cell) = 128
- E above lowest polymorph (eV per atom) = 0.132


[10]
## SrLiBe2Pt (PBE)

Data for a relaxed SrLiBe2Pt crystal.

Cell lengths 4.424, 4.424, 4.791 Å; angles 90.00, 90.00, 90.00 degrees
Positions (direct):
Be 0.000 0.500 0.000
Be 0.500 0.000 0.000
Sr 0.500 0.500 0.500
Pt 0.000 0.000 0.000
Li 0.000 0.000 0.500

## Properties
- space-group type = P4/mmm (123)
- ΔE_f (eV/atom) = -0.250
- calculated volume (Å³/cell) = 94


[11]
## SbCl2 (PBE)

Data for a relaxed SbCl2 crystal.

Cell lengths 5.634, 6.028, 7.620 Å; angles 102.60, 107.45, 102.96 degrees
Positions (direct):
Cl 0.850 0.392 0.501
Cl 0.476 0.843 0.823
Cl 0.193 0.350 0.042
Cl 0.096 0.872 0.301
Sb 0.437 0.682 0.327
Sb 0.319 0.442 0.608

## Properties
- space-group type = P1 (1)
- calculated volume (Å³/cell) = 229
- E above lowest polymorph (eV per atom) = 0.000
- formation energy (no corrections) (eV per formula unit) = -2.11


[12]
## ZrReBr (PBE)

Data for a relaxed ZrReBr crystal.

Cell lengths 3.333, 3.333, 6.804 Å; angles 90.00, 90.00, 120.00 degrees
Positions (direct):
Br 0.000 0.000 0.964
Re 0.667 0.333 0.383
Zr 0.333 0.667 0.653

## Properties
- space-group type = P3m1 (156)
- calculated volume (Å³/cell) = 65
- E above lowest polymorph (eV per atom) = 0.000
- formation energy (no corrections) (eV per formula unit) = 0.43


[13]
## Tb2CeNdEr4 (PBE)

Data for a relaxed Tb2CeNdEr4 crystal.

Cell lengths 5.045, 5.028, 11.127 Å; angles 63.14, 90.00, 90.00 degrees
Positions (direct):
Er 0.000 0.247 0.253
Er 0.500 0.746 0.254
Er 0.000 0.753 0.747
Er 0.500 0.254 0.746
Nd 0.500 0.500 0.000
Ce 0.000 0.500 0.500
Tb 0.000 0.000 0.000
Tb 0.500 0.000 0.500

## Properties
- space-group type = Pmmm (47)
- ΔE_f (eV/atom) = 0.046
- calculated volume (Å³/cell) = 252


[14]
## TlSb2Pd (PBE)

Data for a relaxed TlSb2Pd crystal.

Cell lengths 5.139, 5.139, 5.139 Å; angles 60.00, 60.00, 60.00 degrees
Positions (direct):
Sb 0.250 0.250 0.250
Sb 0.750 0.750 0.750
Pd 0.000 0.000 0.000
Tl 0.500 0.500 0.500

## Properties
- space-group type = Fm-3m (225)
- calculated volume (Å³/cell) = 96
- E above lowest polymorph (eV per atom) = 0.367
- formation energy (no corrections) (eV per formula unit) = 0.64


[15]
## RbMnNi (PBE)

Data for a relaxed RbMnNi crystal.

Cell lengths 8.476, 3.268, 11.255 Å; angles 90.00, 90.00, 90.00 degrees
Positions (direct):
Ni 0.288 0.750 0.932
Ni 0.212 0.250 0.432
Ni 0.712 0.250 0.068
Ni 0.788 0.750 0.568
Mn 0.571 0.750 0.968
Mn 0.071 0.750 0.532
Mn 0.429 0.250 0.032
Mn 0.929 0.250 0.468
Rb 0.566 0.750 0.315
Rb 0.434 0.250 0.685
Rb 0.066 0.750 0.185
Rb 0.934 0.250 0.815

## Properties
- space-group type = Pnma (62)
- ΔE_f (eV/atom) = 0.896
- calculated volume (Å³/cell) = 312
- E above lowest polymorph (eV per atom) = 0.492


[16]
## Hf2PbBr (PBE)

Data for a relaxed Hf2PbBr crystal.

Cell lengths 4.403, 4.403, 10.919 Å; angles 78.37, 78.37, 90.00 degrees
Positions (direct):
Hf 0.631 0.125 0.250
Hf 0.375 0.369 0.750
Hf 0.875 0.881 0.750
Hf 0.119 0.625 0.250
Br 0.500 0.500 0.000
Br 0.250 0.750 0.500
Pb 0.750 0.250 0.500
Pb 0.000 0.000 0.000

## Properties
- space-group type = I-42d (122)
- calculated volume (Å³/cell) = 203
- E above lowest polymorph (eV per atom) = 0.383
- formation energy (no corrections) (eV per formula unit) = 1.72


[17]
## Co4OsPb (PBE)

Data for a relaxed Co4OsPb crystal.

Cell lengths 4.848, 4.848, 4.848 Å; angles 60.00, 60.00, 60.00 degrees
Positions (direct):
Co 0.624 0.127 0.624
Co 0.624 0.624 0.624
Co 0.624 0.624 0.127
Co 0.127 0.624 0.624
Pb 0.000 0.000 0.000
Os 0.250 0.250 0.250

## Properties
- space-group type = F-43m (216)
- ΔE_f (eV/atom) = 0.481
- calculated volume (Å³/cell) = 81


[18]
## Tb4GaSnC (PBE)

Data for a relaxed Tb4GaSnC crystal.

Cell lengths 6.834, 6.835, 8.459 Å; angles 90.00, 113.83, 90.00 degrees
Positions (direct):
Tb 0.500 0.500 0.500
Tb 0.000 0.500 0.500
Tb 0.500 0.000 0.500
Tb 0.589 0.250 0.178
Tb 0.411 0.750 0.822
Tb 0.918 0.250 0.835
Tb 0.082 0.750 0.165
Tb 0.000 0.000 0.500
C 0.248 0.750 0.496
C 0.752 0.250 0.504
Sn 0.388 0.250 0.776
Sn 0.612 0.750 0.224
Ga 0.882 0.750 0.764
Ga 0.118 0.250 0.236

## Properties
- space-group type = Cmcm (63)
- ΔE_f (eV/atom) = -0.499
- calculated volume (Å³/cell) = 361


[19]
## YBe2Mo (PBE)

Data for a relaxed YBe2Mo crystal.

Cell lengths 3.475, 3.488, 5.494 Å; angles 71.53, 90.00, 90.00 degrees
Positions (direct):
Be 0.000 0.157 0.060
Be 0.500 0.048 0.279
Mo 0.000 0.505 0.364
Y 0.500 0.789 0.796

## Properties
- space-group type = Amm2 (38)
- ΔE_f (eV/atom) = 0.141
- calculated volume (Å³/cell) = 63
- E above lowest polymorph (eV per atom) = 0.080


[20]
## K2AgP2 (PBE)

Data for a relaxed K2AgP2 crystal.

Cell lengths 6.582, 6.582, 5.804 Å; angles 55.46, 55.46, 90.00 degrees
Positions (direct):
K 0.250 0.750 0.500
K 0.750 0.250 0.500
Ag 0.000 0.000 0.000
P 0.655 0.655 0.691
P 0.345 0.345 0.309

## Properties
- space-group type = I4/mmm (139)
- ΔE_f (eV/atom) = 0.039
- calculated volume (Å³/cell) = 150
- E above lowest polymorph (eV per atom) = 0.222


[21]
## UBiAu2 (PBE)

Data for a relaxed UBiAu2 crystal.

Cell lengths 3.445, 3.445, 8.022 Å; angles 90.00, 90.00, 90.00 degrees
Positions (direct):
U 0.500 0.500 0.000
Bi 0.500 0.500 0.500
Au 0.000 0.000 0.765
Au 0.000 0.000 0.235

## Properties
- space-group type = P4/mmm (123)
- ΔE_f (eV/atom) = -0.087
- calculated volume (Å³/cell) = 95


[22]
## YUS2 (PBE)

Data for a relaxed YUS2 crystal.

Cell lengths 3.812, 3.812, 13.410 Å; angles 90.00, 90.00, 120.00 degrees
Positions (direct):
S 0.667 0.333 0.624
S 0.333 0.667 0.124
S 0.667 0.333 0.876
S 0.333 0.667 0.376
Y 0.333 0.667 0.750
Y 0.667 0.333 0.250
U 0.000 0.000 0.500
U 0.000 0.000 0.000

## Properties
- space-group type = P6_3/mmc (194)
- calculated volume (Å³/cell) = 169
- E above lowest polymorph (eV per atom) = 0.036
- formation energy (no corrections) (eV per formula unit) = -6.53


[23]
## Pm5Nd4Er2 (PBE)

Data for a relaxed Pm5Nd4Er2 crystal.

Cell lengths 3.572, 8.799, 12.294 Å; angles 94.38, 98.35, 90.00 degrees
Positions (direct):
Pm 0.816 0.525 0.632
Pm 0.130 0.046 0.260
Pm 0.184 0.475 0.368
Pm 0.500 0.000 0.000
Pm 0.870 0.954 0.740
Nd 0.960 0.653 0.920
Nd 0.274 0.174 0.548
Nd 0.726 0.826 0.452
Nd 0.040 0.347 0.080
Er 0.587 0.697 0.175
Er 0.413 0.303 0.825

## Properties
- space-group type = C2/m (12)
- ΔE_f (eV/atom) = 0.095
- calculated volume (Å³/cell) = 381
- E above lowest polymorph (eV per atom) = 0.000


[24]
## NpPaN2 (PBE)

Data for a relaxed NpPaN2 crystal.

Cell lengths 3.011, 3.011, 6.055 Å; angles 90.00, 90.00, 90.00 degrees
Positions (direct):
N 0.000 0.000 0.240
N 0.000 0.000 0.760
Pa 0.500 0.500 0.000
Np 0.500 0.500 0.500

## Properties
- space-group type = P4/mmm (123)
- calculated volume (Å³/cell) = 55
- formation energy (no corrections) (eV per formula unit) = -2.43


[25]
## Sr2MnRe (PBE)

Data for a relaxed Sr2MnRe crystal.

Cell lengths 5.469, 5.469, 3.596 Å; angles 90.00, 90.00, 90.00 degrees
Positions (direct):
Sr 0.500 0.500 0.000
Sr 0.000 0.000 0.000
Re 0.000 0.500 0.500
Mn 0.500 0.000 0.500

## Properties
- space-group type = P4/mmm (123)
- ΔE_f (eV/atom) = 1.207
- calculated volume (Å³/cell) = 108
- E above lowest polymorph (eV per atom) = 0.827


[26]
## Cs2ThMgTe4 (PBE)

Data for a relaxed Cs2ThMgTe4 crystal.

Cell lengths 4.607, 9.333, 7.888 Å; angles 72.77, 90.00, 90.00 degrees
Positions (direct):
Cs 0.000 0.000 0.000
Cs 0.500 0.000 0.500
Te 0.000 0.320 0.220
Te 0.000 0.680 0.780
Te 0.500 0.695 0.268
Te 0.500 0.305 0.732
Th 0.000 0.500 0.500
Mg 0.500 0.500 0.000

## Properties
- space-group type = P2/m (10)
- calculated volume (Å³/cell) = 324
- formation energy (no corrections) (eV per formula unit) = -8.87


Uncorrected energy values, unit eV per atom, following the record order: -5.26 -5.70 -4.90 -4.57 -6.75 -1.94 -5.25 -5.80 -3.35 -3.67 -3.31 -7.41 -4.73 -3.79 -4.41 -5.89 -6.75 -5.47 -6.05 -3.13 -5.52 -8.13 -4.63 -10.38 -5.04 -4.02.